1.
## TbSm4Sc4 (PBE)

Data for crystalline TbSm4Sc4 at its relaxed geometry.

Cell lengths 10.3814, 10.3814, 4.8728 Å; angles 90.00, 90.00, 90.00 degrees
With the nearest neighbours (Å) after each atom.
Space group I4/mmm (No. 139)
Symmetry-distinct sites (fractional):
Tb 0.0000 0.0000 0.0000 [2 per cell]  4 Sm 3.40, 8 Sc 3.45
Sm 0.0000 0.3272 0.0000 [8 per cell]  1 Tb 3.40, 6 Sc 3.42-3.47, 5 Sm 3.52-3.59
Sc 0.1660 0.1660 0.5000 [8 per cell]  6 Sm 3.42-3.47, 2 Tb 3.45, 4 Sc 3.45-3.47

Output
As for the volume: 29.2 A^3/atom. The crystal system is tetragonal. As for the energy of formation: 58 meV/atom.


2.
## Al2PbSe (PBE)

Data for crystalline Al2PbSe at its relaxed geometry.

Cell lengths 3.5522, 3.5522, 27.5006 Å; angles 90.00, 90.00, 120.00 degrees
With the nearest neighbours (Å) after each atom.
Space group R3m (No. 160, hexagonal axes)
Symmetry-distinct sites (fractional):
Al 0.0000 0.0000 0.0000 [3 per cell]  3 Al 2.92, 3 Pb 3.13
Al 0.0000 0.0000 0.2580 [3 per cell]  3 Se 2.45
Pb 0.0000 0.0000 0.7529 [3 per cell]  3 Al 3.13
Se 0.0000 0.0000 0.5428 [3 per cell]  3 Al 2.45

Output
As for the volume: 25.0 A^3/atom. The total energy is -3.8111 eV/atom. The crystal system is trigonal.